Density functional theory data (PBE+U) for a geometry-optimized YNiF2 structure.

The structure in POSCAR format:
```
YNiF2
1.0
1.583 0.914 7.615
-1.583 0.914 7.615
0.000 -1.828 7.615
Y Ni F
1 1 2
Cartesian
0.000 0.000 0.000
0.000 0.000 11.423
0.000 0.000 9.123
0.000 0.000 13.723
```

## Properties
**Symmetry**: No. 166
**Uncorrected energy**: -4.9408 eV per atom
**Energy above the most stable polymorph in this dataset**: 0 meV per atom
**DOS at the Fermi energy**: 0.34 states/eV/atom